Material: BeV2AgO6
Method: DFT, PBE with a Hubbard U
State: optimized geometry

The space group is C2/c (No. 15) and the conventional cell measures 11.120, 11.661 and 5.875 Å, with angles of 90.00, 121.88 and 90.00 degrees. The asymmetric unit holds Be at (0.000, 0.234, 0.250), V at (0.236, 0.411, 0.665), Ag at (0.000, 0.228, 0.750), O at (0.096, 0.312, 0.518), O at (0.098, 0.154, 0.181) and O at (0.220, 0.495, 0.908).

Its crystal system is monoclinic. The total energy comes out at -6.871 eV/atom. As for the density of states at the Fermi level: 0.056 states/eV per atom.